[1]
First-principles (PBE) data for a relaxed Ac2Sn3Pd crystal, as listed in Alexandria.

Properties
polymorph energy (0 for the lowest one)	0	meV/atom
DFT formation energy	-17.22	kcal/mol of atoms
calculated volume	30.2	A^3/atom

Unit cell a=9.522 b=9.453 c=6.629 alpha=70.11 beta=69.00 gamma=40.90
Sites, in units of the cell vectors:
Ac (0.247, 0.753, 0.753)
Ac (0.250, 0.250, 0.250)
Ac (0.750, 0.750, 0.750)
Ac (0.753, 0.247, 0.247)
Sn (0.173, 0.173, 0.827)
Sn (0.174, 0.653, 0.347)
Sn (0.347, 0.826, 0.174)
Sn (0.653, 0.174, 0.826)
Sn (0.826, 0.347, 0.653)
Sn (0.827, 0.827, 0.173)
Pd (0.333, 0.333, 0.667)
Pd (0.667, 0.667, 0.333)

***

[2]
First-principles (PBE) data for a relaxed Ac2Sn3Pd9 crystal, as listed in Alexandria.

Properties
DFT formation energy	-16.55	kcal/mol of atoms
calculated volume	20.0	A^3/atom

Unit cell a=8.169 b=8.169 c=9.619 alpha=90.00 beta=90.00 gamma=60.52
Sites, in units of the cell vectors:
Ac (0.018, 0.668, 0.750)
Ac (0.332, 0.982, 0.750)
Ac (0.668, 0.018, 0.250)
Ac (0.982, 0.332, 0.250)
Sn (0.000, 0.000, 0.000)
Sn (0.000, 0.000, 0.500)
Sn (0.323, 0.323, 0.000)
Sn (0.323, 0.323, 0.500)
Sn (0.677, 0.677, 0.000)
Sn (0.677, 0.677, 0.500)
Pd (0.006, 0.660, 0.082)
Pd (0.006, 0.660, 0.418)
Pd (0.142, 0.858, 0.250)
Pd (0.336, 0.664, 0.532)
Pd (0.336, 0.664, 0.968)
Pd (0.340, 0.994, 0.082)
Pd (0.340, 0.994, 0.418)
Pd (0.351, 0.455, 0.250)
Pd (0.455, 0.351, 0.750)
Pd (0.545, 0.649, 0.250)
Pd (0.649, 0.545, 0.750)
Pd (0.660, 0.006, 0.582)
Pd (0.660, 0.006, 0.918)
Pd (0.664, 0.336, 0.032)
Pd (0.664, 0.336, 0.468)
Pd (0.858, 0.142, 0.750)
Pd (0.994, 0.340, 0.582)
Pd (0.994, 0.340, 0.918)

***

[3]
First-principles (PBE) data for a relaxed AcSn2Pd4 crystal, as listed in Alexandria.

Properties
polymorph energy (0 for the lowest one)	60	meV/atom
DFT formation energy	-14.52	kcal/mol of atoms
calculated volume	21.0	A^3/atom

Unit cell a=8.286 b=8.286 c=4.275 alpha=90.00 beta=90.00 gamma=90.00
Sites, in units of the cell vectors:
Ac (0.000, 0.000, 0.000)
Ac (0.500, 0.500, 0.500)
Sn (0.220, 0.220, 0.500)
Sn (0.280, 0.720, 0.000)
Sn (0.720, 0.280, 0.000)
Sn (0.780, 0.780, 0.500)
Pd (0.089, 0.653, 0.500)
Pd (0.153, 0.411, 0.000)
Pd (0.347, 0.911, 0.500)
Pd (0.411, 0.153, 0.000)
Pd (0.589, 0.847, 0.000)
Pd (0.653, 0.089, 0.500)
Pd (0.847, 0.589, 0.000)
Pd (0.911, 0.347, 0.500)

***

[4]
First-principles (PBE) data for a relaxed AcSn2Pd2 crystal, as listed in Alexandria.

Properties
polymorph energy (0 for the lowest one)	0	meV/atom
DFT formation energy	-18.92	kcal/mol of atoms
calculated volume	24.0	A^3/atom

Unit cell a=4.705 b=4.705 c=10.851 alpha=90.00 beta=90.00 gamma=90.00
Sites, in units of the cell vectors:
Ac (0.250, 0.250, 0.242)
Ac (0.750, 0.750, 0.758)
Sn (0.250, 0.250, 0.876)
Sn (0.250, 0.750, 0.500)
Sn (0.750, 0.250, 0.500)
Sn (0.750, 0.750, 0.124)
Pd (0.250, 0.250, 0.631)
Pd (0.250, 0.750, 0.000)
Pd (0.750, 0.250, 0.000)
Pd (0.750, 0.750, 0.369)

***

[5]
First-principles (PBE) data for a relaxed AcSn2Pd2 crystal, as listed in Alexandria.

Properties
polymorph energy (0 for the lowest one)	68	meV/atom
DFT formation energy	-17.34	kcal/mol of atoms
calculated volume	24.9	A^3/atom

Unit cell a=9.207 b=7.777 c=6.509 alpha=79.71 beta=56.21 gamma=44.08
Sites, in units of the cell vectors:
Ac (0.125, 0.125, 0.125)
Ac (0.875, 0.875, 0.875)
Sn (0.177, 0.573, 0.177)
Sn (0.427, 0.823, 0.427)
Sn (0.573, 0.177, 0.573)
Sn (0.823, 0.427, 0.823)
Pd (0.275, 0.275, 0.475)
Pd (0.475, 0.475, 0.275)
Pd (0.525, 0.525, 0.725)
Pd (0.725, 0.725, 0.525)

***

[6]
First-principles (PBE) data for a relaxed Ac3SnPd crystal, as listed in Alexandria.

Properties
polymorph energy (0 for the lowest one)	0	meV/atom
DFT formation energy	-12.10	kcal/mol of atoms
calculated volume	36.1	A^3/atom

Unit cell a=9.169 b=9.169 c=8.698 alpha=90.00 beta=90.00 gamma=81.31
Sites, in units of the cell vectors:
Ac (0.014, 0.693, 0.410)
Ac (0.075, 0.925, 0.808)
Ac (0.193, 0.514, 0.910)
Ac (0.307, 0.986, 0.410)
Ac (0.425, 0.575, 0.308)
Ac (0.486, 0.807, 0.910)
Ac (0.514, 0.193, 0.090)
Ac (0.575, 0.425, 0.692)
Ac (0.693, 0.014, 0.590)
Ac (0.807, 0.486, 0.090)
Ac (0.925, 0.075, 0.192)
Ac (0.986, 0.307, 0.590)
Sn (0.162, 0.338, 0.250)
Sn (0.338, 0.162, 0.750)
Sn (0.662, 0.838, 0.250)
Sn (0.838, 0.662, 0.750)
Pd (0.193, 0.807, 0.126)
Pd (0.307, 0.693, 0.626)
Pd (0.693, 0.307, 0.374)
Pd (0.807, 0.193, 0.874)

***

For each record above, in turn, the calculated energy values are -59.80; -154.02; -74.59; -53.20; -52.52; -96.58 eV/cell.